Record 1
Compound: Cr2AgOs
Source: Alexandria via LeMat-Bulk
Functional: SCAN
Structure: PBEsol geometry

Summary:
Space group = No. 139
ΔH_f (0 K) = 1.97 eV/f.u.

Lattice parameters (Å, degrees): 4.533 4.533 4.533 130.57 130.57 72.50
Positions (direct):
Cr 0.250 0.750 0.500
Cr 0.750 0.250 0.500
Ag 0.000 0.000 0.000
Os 0.500 0.500 0.000

=====

Record 2
Compound: RuPt2Se
Source: Alexandria via LeMat-Bulk
Functional: SCAN
Structure: PBEsol geometry

Summary:
ΔE_f (raw) = 300 meV/atom
Space group = No. 44

Lattice parameters (Å, degrees): 5.414 5.414 5.414 149.86 129.75 59.71
Positions (direct):
Ru 0.000 0.000 0.000
Pt 0.262 0.762 0.500
Pt 0.534 0.534 0.000
Se 0.790 0.290 0.500